(1)
Below is a relaxed TmNbAl crystal, with properties calculated at the PBE level.

Output
The energy above the most stable polymorph in this dataset is 0.0000 eV per atom.

abc: 6.691 6.691 6.691
angles: 90.00 90.00 90.00
Space group F-43m (No. 216)
Symmetry-distinct sites (fractional):
Tm 0.000 0.000 0.000 (multiplicity 4)
Nb 0.250 0.250 0.750 (multiplicity 4)
Al 0.000 0.000 0.500 (multiplicity 4)

(2)
Below is a relaxed UNbPt crystal, with properties calculated at the PBE level.

Output
The formation energy from the elements is 9.118 kcal/mol of atoms. The energy above the most stable polymorph in this dataset is 0.1465 eV per atom.

abc: 6.416 6.416 6.416
angles: 90.00 90.00 90.00
Space group F-43m (No. 216)
Symmetry-distinct sites (fractional):
U 0.000 0.000 0.000 (multiplicity 4)
Nb 0.250 0.250 0.750 (multiplicity 4)
Pt 0.250 0.250 0.250 (multiplicity 4)

(3)
Below is a relaxed Pr3In3Ni2Pd crystal, with properties calculated at the PBE level.

Output
As for the calculated total energy: -4.86 eV per atom.

abc: 7.6378 7.6378 4.0920
angles: 90.00 90.00 120.00
Space group P-62m (No. 189)
Symmetry-distinct sites (fractional):
Pr 0.0000 0.4163 0.0000 (multiplicity 3)
In 0.0000 0.7451 0.5000 (multiplicity 3)
Ni 0.3333 0.6667 0.5000 (multiplicity 2)
Pd 0.0000 0.0000 0.0000 (multiplicity 1)

(4)
Below is a relaxed PmPaIn crystal, with properties calculated at the PBE level.

Output
The energy above the most stable polymorph in this dataset is 0.0000 eV per atom.

abc: 7.312 7.312 7.312
angles: 90.00 90.00 90.00
Space group F-43m (No. 216)
Symmetry-distinct sites (fractional):
Pm 0.000 0.000 0.000 (multiplicity 4)
Pa 0.000 0.000 0.500 (multiplicity 4)
In 0.250 0.250 0.750 (multiplicity 4)

(5)
Below is a relaxed Cu2Ag crystal, with properties calculated at the PBE level.

Output
The formation energy from the elements is 2.309 kcal/mol of atoms. The energy above the most stable polymorph in this dataset is 0.0543 eV per atom.

abc: 2.7328 2.7328 19.5504
angles: 90.00 90.00 120.00
Space group P3m1 (No. 156)
Symmetry-distinct sites (fractional):
Cu 0.0000 0.0000 0.0000 (multiplicity 1)
Cu 0.0000 0.0000 0.3062 (multiplicity 1)
Cu 0.0000 0.0000 0.6666 (multiplicity 1)
Cu 0.3333 0.6667 0.2045 (multiplicity 1)
Cu 0.6667 0.3333 0.1019 (multiplicity 1)
Cu 0.6667 0.3333 0.7674 (multiplicity 1)
Ag 0.3333 0.6667 0.5509 (multiplicity 1)
Ag 0.3333 0.6667 0.8839 (multiplicity 1)
Ag 0.6667 0.3333 0.4218 (multiplicity 1)

(6)
Below is a relaxed GdErNO crystal, with properties calculated at the PBE level.

Output
The energy above the most stable polymorph in this dataset is 0.4711 eV per atom.

abc: 4.358 4.358 8.183
angles: 90.00 90.00 90.00
Space group P4/nmm (No. 129, origin choice 2)
Symmetry-distinct sites (fractional):
Gd 0.250 0.250 0.100 (multiplicity 2)
Er 0.250 0.750 0.500 (multiplicity 2)
N 0.250 0.250 0.574 (multiplicity 2)
O 0.250 0.750 0.000 (multiplicity 2)

(7)
Below is a relaxed Fe2P crystal, with properties calculated at the PBE level.

Output
As for the calculated total energy: -7.23 eV per atom.

abc: 4.788 4.788 3.537
angles: 90.00 90.00 90.00
Space group P4_2/mnm (No. 136)
Symmetry-distinct sites (fractional):
Fe 0.187 0.187 0.000 (multiplicity 4)
P 0.000 0.000 0.500 (multiplicity 2)

(8)
Below is a relaxed HfZr2Ga3IrAu2 crystal, with properties calculated at the PBE level.

Output
As for the calculated total energy: -6.38 eV per atom.

abc: 4.050 11.820 6.882
angles: 90.00 90.00 90.00
Space group Amm2 (No. 38)
Symmetry-distinct sites (fractional):
Hf 0.000 0.000 0.000 (multiplicity 2)
Zr 0.000 0.202 0.398 (multiplicity 4)
Ga 0.500 0.000 0.358 (multiplicity 2)
Ga 0.500 0.124 0.721 (multiplicity 4)
Ir 0.000 0.000 0.605 (multiplicity 2)
Au 0.500 0.164 0.099 (multiplicity 4)